Here is a relaxed TmZrInRu crystal from Alexandria. Energies are from PBE.

Summary:
As for the crystal system: cubic. The energy of formation comes out at -292 meV per atom. Its energy relative to the lowest polymorph listed for this composition is 4.373 kcal/mol of atoms.

Cell lengths 4.9109, 4.9109, 4.9109 Å; angles 60.00, 60.00, 60.00 degrees
Last column: nearest neighbours and their distance in Å.
Positions (direct):
Ru 0.7500 0.7500 0.7500  4 Zr 3.01, 4 Tm 3.01
Tm 0.0000 0.0000 0.0000  4 Ru 3.01, 4 In 3.01
Zr 0.5000 0.5000 0.5000  4 In 3.01, 4 Ru 3.01
In 0.2500 0.2500 0.2500  4 Zr 3.01, 4 Tm 3.01